A plane-wave DFT calculation with PBE-GGA was carried out for a relaxed structure of Ac2HoBi.

The structure belongs to space group R-3m (No. 166, hexagonal axes); the cell edges are 3.7045, 3.7045 and 38.5682 Å and the angles 90.00°, 90.00° and 120.00°. The distinct sites, in fractional coordinates, are Ac at (0.0000, 0.0000, 0.0911), Ho at (0.0000, 0.0000, 0.0000) and Bi at (0.0000, 0.0000, 0.5000).

The total magnetization comes out at 0.000 μB/atom. The calculation puts the excess energy over the best structure of this formula in the dataset at 0.4256 eV/atom.

---

A plane-wave DFT calculation with PBE-GGA was carried out for a relaxed structure of AcHoBi3.

The structure belongs to space group Pm-3m (No. 221); the cell edges are 5.8131, 5.8131 and 5.8131 Å and the angles 90.00°, 90.00° and 90.00°. The distinct sites, in fractional coordinates, are Ac at (0.0000, 0.0000, 0.0000), Ho at (0.5000, 0.5000, 0.5000) and Bi at (0.0000, 0.5000, 0.5000).

The total magnetization comes out at 0.000 μB/atom. The calculation puts the electronic total energy at -4.271 eV/atom.

---

> total magnetization of number 1 (Ac2HoBi)?

0.000 μB/atom

---

> Which value of total magnetization does entry 2 give?

0.000 μB/atom

---

> What is the total magnetization in the first record?

0.000 μB/atom

---

> What is the formula in the first record?

Ac2HoBi